Here is a relaxed MgIn2Se4 crystal from the Alexandria database. Energies are from PBE.

a = 7.1638 Å, b = 8.2613 Å, c = 14.0379 Å
α = 81.25°, β = 85.16°, γ = 89.99°
Closest atoms and distances in Å follow each position.
Space group P-1 (No. 2)
Inequivalent atoms, fractional coordinates:
Mg: 0.1294 0.1984 0.2104  4 Se 2.57-2.61
Mg: 0.2484 0.3740 0.4990  6 Se 2.73-2.76
In: 0.1368 0.6984 0.2116  4 Se 2.59-2.67
In: 0.2389 0.8761 0.5003  6 Se 2.74-2.83
In: 0.3731 0.0473 0.7902  4 Se 2.61-2.67
In: 0.3728 0.5567 0.7865  4 Se 2.59-2.68
Se: 0.0976 0.6460 0.3989  2 In 2.59-2.78, 2 Mg 2.74-2.75
Se: 0.1050 0.1555 0.3960  2 Mg 2.57-2.73, 2 In 2.74-2.76
Se: 0.1871 0.7799 0.8700  1 Mg 2.61, 2 In 2.63
Se: 0.1890 0.2820 0.8691  3 In 2.67-2.68
Se: 0.3078 0.9720 0.1295  1 Mg 2.61, 2 In 2.63
Se: 0.3098 0.4666 0.1307  1 Mg 2.61, 2 In 2.63
Se: 0.4006 0.5978 0.5989  2 In 2.59-2.80, 2 Mg 2.75-2.76
Se: 0.4019 0.1023 0.6016  3 In 2.61-2.83, 1 Mg 2.76

Values from the calculation:
E_form (uncorrected), eV/atom: -0.752
Density, Mg/m³: 4.6
Crystal system: triclinic
E, eV/atom: -3.75

***

Here is a relaxed Sc4MnRu5 crystal from the Alexandria database. Energies are from PBE.

a = 3.1683 Å, b = 3.1683 Å, c = 15.8402 Å
α = 90.00°, β = 90.00°, γ = 90.00°
Closest atoms and distances in Å follow each position.
Space group P4/mmm (No. 123)
Inequivalent atoms, fractional coordinates:
Sc: 0.0000 0.0000 0.1021  8 Ru 2.76-2.78
Sc: 0.0000 0.0000 0.3044  8 Ru 2.73-2.82
Mn: 0.0000 0.0000 0.5000  8 Ru 2.64
Ru: 0.5000 0.5000 0.0000  8 Sc 2.76
Ru: 0.5000 0.5000 0.2059  8 Sc 2.73-2.78
Ru: 0.5000 0.5000 0.4123  4 Mn 2.64, 1 Ru 2.78, 4 Sc 2.82

Values from the calculation:
Density, Mg/m³: 7.7
Crystal system: tetragonal
E, eV/atom: -8.50
D(E_F), states/eV per atom: 0.8651